A geometry-optimized PaMnGe2O8 structure. Source: the Alexandria database, functional PBE with a Hubbard U.

Values from the calculation:
- volume (Å³ per atom) = 12.70
- DFT total energy (eV per atom) = -7.55

Unit cell a=5.8297 b=5.8297 c=5.8297 alpha=108.66 beta=108.66 gamma=111.11
Fractional coordinates of all 12 atoms:
1 Pa 0.0000 0.0000 0.0000
2 Mn 0.7500 0.2500 0.5000
3 Ge 0.2500 0.7500 0.5000
4 Ge 0.5000 0.5000 0.0000
5 O 0.0708 0.3807 0.3099
6 O 0.0708 0.7609 0.6901
7 O 0.1211 0.3131 0.8080
8 O 0.2391 0.9292 0.3099
9 O 0.5051 0.3131 0.1920
10 O 0.6193 0.9292 0.6901
11 O 0.6869 0.4949 0.8080
12 O 0.6869 0.8789 0.1920